No. 1
InP2SI | PBE | optimized geometry Values from VASP.

Calculated values
Space group: P4/mmm
ΔE_f (raw): 982 meV per atom
ΔE to the lowest computed polymorph: 0.000 eV per atom

The structure in Quantum ESPRESSO input format:
```
&SYSTEM
  ibrav = 0, nat = 5, ntyp = 4
/
ATOMIC_SPECIES
In 114.82 In.upf
P 30.97 P.upf
S 32.06 S.upf
I 126.90 I.upf
ATOMIC_POSITIONS angstrom
In 0.0000 0.0000 0.0000
P 0.0000 2.6397 0.0000
P 2.6397 0.0000 0.0000
S 0.0000 0.0000 2.4680
I 2.6397 2.6397 2.4680
CELL_PARAMETERS angstrom
5.2795 0.0000 0.0000
0.0000 5.2795 0.0000
0.0000 0.0000 4.9361
```

---

No. 2
ZrCdP2 | PBE | optimized geometry Values from VASP.

Calculated values
Space group: Imm2
Energy relative to the elements: -1.76 eV per formula unit

The structure in Quantum ESPRESSO input format:
```
&SYSTEM
  ibrav = 0, nat = 4, ntyp = 3
/
ATOMIC_SPECIES
Zr 91.22 Zr.upf
Cd 112.41 Cd.upf
P 30.97 P.upf
ATOMIC_POSITIONS angstrom
Zr 0.0000 0.0000 0.0000
Cd 1.7773 0.0000 3.0744
P 0.0000 0.0000 6.8135
P 0.0000 1.8546 4.0591
CELL_PARAMETERS angstrom
-1.7773 1.8546 6.0062
1.7773 -1.8546 6.0062
1.7773 1.8546 -6.0062
```

---

No. 3
Lu2HRu | PBE | optimized geometry Values from VASP.

Calculated values
Space group: R-3m
ΔE to the lowest computed polymorph: 0.000 eV per atom

The structure in Quantum ESPRESSO input format:
```
&SYSTEM
  ibrav = 0, nat = 4, ntyp = 3
/
ATOMIC_SPECIES
Lu 174.97 Lu.upf
H 1.01 H.upf
Ru 101.07 Ru.upf
ATOMIC_POSITIONS angstrom
Lu 0.0000 0.0000 4.8175
Lu 0.0000 0.0000 15.3012
H 0.0000 0.0000 10.0594
Ru 0.0000 0.0000 0.0000
CELL_PARAMETERS angstrom
1.7289 0.9982 6.7063
-1.7289 0.9982 6.7063
0.0000 -1.9964 6.7063
```

---

No. 4
TlTe2AuI | PBE | optimized geometry Values from VASP.

Calculated values
Space group: P4/mmm
ΔE_f (raw): 796 meV per atom
ΔE to the lowest computed polymorph: 0.698 eV per atom

The structure in Quantum ESPRESSO input format:
```
&SYSTEM
  ibrav = 0, nat = 5, ntyp = 4
/
ATOMIC_SPECIES
Tl 204.38 Tl.upf
Te 127.60 Te.upf
Au 196.97 Au.upf
I 126.90 I.upf
ATOMIC_POSITIONS angstrom
Tl 0.0000 0.0000 0.0000
Te 0.0000 2.9066 0.0000
Te 2.9066 0.0000 0.0000
Au 2.9066 2.9066 2.9953
I 0.0000 0.0000 2.9953
CELL_PARAMETERS angstrom
5.8131 0.0000 0.0000
0.0000 5.8131 0.0000
0.0000 0.0000 5.9905
```

---

No. 5
Sr2AsCl | PBE | optimized geometry Values from VASP.

Calculated values
Space group: P2/m
ΔE_f (raw): -1512 meV per atom

The structure in Quantum ESPRESSO input format:
```
&SYSTEM
  ibrav = 0, nat = 4, ntyp = 3
/
ATOMIC_SPECIES
Sr 87.62 Sr.upf
As 74.92 As.upf
Cl 35.45 Cl.upf
ATOMIC_POSITIONS angstrom
Sr 0.0041 0.0000 1.6345
Sr 4.0308 0.0000 6.3218
As 2.0265 1.9566 0.0000
Cl -0.0090 1.9566 3.9782
CELL_PARAMETERS angstrom
4.0529 0.0000 0.0000
0.0000 3.9132 0.0000
-0.0179 0.0000 7.9564
```

---

No. 6
ReHg4Rh | PBE | optimized geometry Values from VASP.

Calculated values
Space group: F-43m
Energy relative to the elements: 6.61 eV per formula unit

The structure in Quantum ESPRESSO input format:
```
&SYSTEM
  ibrav = 0, nat = 6, ntyp = 3
/
ATOMIC_SPECIES
Re 186.21 Re.upf
Hg 200.59 Hg.upf
Rh 102.91 Rh.upf
ATOMIC_POSITIONS angstrom
Re 0.0000 0.0000 0.0000
Hg 2.9633 2.9633 2.9633
Hg 4.9354 4.9354 2.9633
Hg 4.9354 2.9633 4.9354
Hg 2.9633 4.9354 4.9354
Rh 5.9240 5.9240 5.9240
CELL_PARAMETERS angstrom
0.0000 3.9493 3.9493
3.9493 0.0000 3.9493
3.9493 3.9493 0.0000
```

---

No. 7
TaNbRh2 | PBE | optimized geometry Values from VASP.

Calculated values
Space group: Fm-3m
Energy relative to the elements: -0.91 eV per formula unit
ΔE to the lowest computed polymorph: 0.229 eV per atom

The structure in Quantum ESPRESSO input format:
```
&SYSTEM
  ibrav = 0, nat = 4, ntyp = 3
/
ATOMIC_SPECIES
Ta 180.95 Ta.upf
Nb 92.91 Nb.upf
Rh 102.91 Rh.upf
ATOMIC_POSITIONS angstrom
Ta 0.0000 0.0000 0.0000
Nb 3.1992 3.1992 3.1992
Rh 1.5996 1.5996 1.5996
Rh 4.7988 4.7988 4.7988
CELL_PARAMETERS angstrom
0.0000 3.1992 3.1992
3.1992 0.0000 3.1992
3.1992 3.1992 0.0000
```

---

No. 8
Re3Pb | PBE | optimized geometry Values from VASP.

Calculated values
Space group: C2/m
Energy relative to the elements: 3.17 eV per formula unit
ΔE to the lowest computed polymorph: 0.164 eV per atom

The structure in Quantum ESPRESSO input format:
```
&SYSTEM
  ibrav = 0, nat = 4, ntyp = 2
/
ATOMIC_SPECIES
Re 186.21 Re.upf
Pb 207.20 Pb.upf
ATOMIC_POSITIONS angstrom
Re 0.0000 0.0000 0.0000
Re 1.7536 0.0000 3.9107
Re 6.6928 0.0000 1.0065
Pb 4.2232 0.0000 2.4586
CELL_PARAMETERS angstrom
4.7063 -1.4984 0.0000
4.7063 1.4984 0.0000
-0.9662 0.0000 4.9172
```

---

No. 9
AcAsAu4 | PBE | optimized geometry Values from VASP.

Calculated values
Space group: F-43m
Energy relative to the elements: -2.66 eV per formula unit

The structure in Quantum ESPRESSO input format:
```
&SYSTEM
  ibrav = 0, nat = 6, ntyp = 3
/
ATOMIC_SPECIES
Ac 227.00 Ac.upf
As 74.92 As.upf
Au 196.97 Au.upf
ATOMIC_POSITIONS angstrom
Ac 0.0000 0.0000 0.0000
As 6.0727 6.0727 6.0727
Au 3.0401 3.0401 3.0401
Au 5.0568 5.0568 3.0401
Au 5.0568 3.0401 5.0568
Au 3.0401 5.0568 5.0568
CELL_PARAMETERS angstrom
0.0000 4.0485 4.0485
4.0485 0.0000 4.0485
4.0485 4.0485 0.0000
```

---

No. 10
YZnGe | PBE | optimized geometry Values from VASP.

Calculated values
Space group: P-6m2
Energy relative to the elements: -1.96 eV per formula unit

The structure in Quantum ESPRESSO input format:
```
&SYSTEM
  ibrav = 0, nat = 3, ntyp = 3
/
ATOMIC_SPECIES
Y 88.91 Y.upf
Zn 65.41 Zn.upf
Ge 72.64 Ge.upf
ATOMIC_POSITIONS angstrom
Y 0.0000 0.0000 0.0000
Zn 2.0917 1.2076 2.0362
Ge 0.0000 2.4153 2.0362
CELL_PARAMETERS angstrom
4.1834 0.0000 0.0000
-2.0917 3.6229 0.0000
0.0000 0.0000 4.0725
```

---

No. 11
Pm3Pr4Dy5 | PBE | optimized geometry Values from VASP.

Calculated values
Space group: C2/m
Energy relative to the elements: 2.56 eV per formula unit
ΔE to the lowest computed polymorph: 0.197 eV per atom

The structure in Quantum ESPRESSO input format:
```
&SYSTEM
  ibrav = 0, nat = 12, ntyp = 3
/
ATOMIC_SPECIES
Pm 145.00 Pm.upf
Pr 140.91 Pr.upf
Dy 162.50 Dy.upf
ATOMIC_POSITIONS angstrom
Pm 0.0000 0.0000 0.0000
Pm 1.4948 0.0000 6.4936
Pm 10.5648 0.0000 1.9740
Pr 4.1858 0.0000 0.9986
Pr 4.4295 0.0000 4.6984
Pr 7.6301 0.0000 3.7692
Pr 7.8739 0.0000 7.4690
Dy -1.7659 0.0000 5.9121
Dy 1.1655 0.0000 3.2734
Dy 8.1240 0.0000 0.0000
Dy 10.8942 0.0000 5.1942
Dy 13.8255 0.0000 2.5555
CELL_PARAMETERS angstrom
8.1240 -3.0088 0.0000
8.1240 3.0088 0.0000
-4.1884 0.0000 8.4676
```

---

No. 12
PrNi3B | PBE | optimized geometry Values from VASP.

Calculated values
Space group: Pm-3m
Energy relative to the elements: -1.27 eV per formula unit
ΔE to the lowest computed polymorph: 0.042 eV per atom

The structure in Quantum ESPRESSO input format:
```
&SYSTEM
  ibrav = 0, nat = 5, ntyp = 3
/
ATOMIC_SPECIES
Pr 140.91 Pr.upf
Ni 58.69 Ni.upf
B 10.81 B.upf
ATOMIC_POSITIONS angstrom
Pr 0.0000 0.0000 0.0000
Ni 0.0000 2.0527 2.0527
Ni 2.0527 0.0000 2.0527
Ni 2.0527 2.0527 0.0000
B 2.0527 2.0527 2.0527
CELL_PARAMETERS angstrom
4.1053 0.0000 0.0000
0.0000 4.1053 0.0000
0.0000 0.0000 4.1053
```

---

no.,V (Å³ per atom),DFT total energy (eV per atom)
1,27.52,-2.865
2,19.80,-5.511
3,17.36,-5.713
4,40.49,-1.900
5,31.55,-3.977
6,20.53,-2.400
7,16.37,-9.383
8,17.34,-9.470
9,22.12,-4.088
10,20.57,-4.772
11,34.50,-4.485
12,13.84,-6.014